Below is CaTc2Sb at its PBEsol-relaxed geometry, with properties calculated at the meta-GGA SCAN level.

Geometry as extended XYZ:
```
4
Lattice="3.3684 0.0000 0.0000 0.0000 3.3684 0.0000 0.0000 0.0000 6.6312" Properties=species:S:1:pos:R:3 pbc="T T T"
Tc 0.0000 0.0000 4.6422
Tc 0.0000 0.0000 1.9889
Ca 1.6842 1.6842 0.0000
Sb 1.6842 1.6842 3.3156
```

## Properties
Total magnetic moment = 1.8 μB per formula unit
Formation energy (no corrections) = 0.36 eV/atom
VASP energy = -28.90 eV per atom



Below is CaTc2Sb at its PBEsol-relaxed geometry, with properties calculated at the meta-GGA SCAN level.

Geometry as extended XYZ:
```
4
Lattice="3.1499 0.0000 -0.0020 0.0000 4.7684 0.0000 -0.3324 0.0000 5.1876" Properties=species:S:1:pos:R:3 pbc="T T T"
Tc 0.0906 0.0000 1.1050
Sb -0.1662 2.3842 2.5938
Ca 1.5749 2.3842 -0.0010
Tc 2.7269 0.0000 4.0806
```

## Properties
Total magnetic moment = 0.0 μB per formula unit
Formation energy (no corrections) = 0.36 eV/atom
VASP energy = -28.90 eV per atom



Below is CaTc2Sb at its PBEsol-relaxed geometry, with properties calculated at the meta-GGA SCAN level.

Geometry as extended XYZ:
```
4
Lattice="4.6320 0.0000 0.0000 2.3160 4.0114 0.0000 2.3160 1.3371 3.7820" Properties=species:S:1:pos:R:3 pbc="T T T"
Sb 2.3160 1.3371 0.9455
Ca 4.6320 2.6743 1.8910
Tc 0.0000 0.0000 0.0000
Tc 6.9480 4.0114 2.8365
```

## Properties
Total magnetic moment = 1.9 μB per formula unit
Formation energy (no corrections) = 0.32 eV/atom
VASP energy = -28.94 eV per atom



Below is CaTiTc2Sb at its PBEsol-relaxed geometry, with properties calculated at the meta-GGA SCAN level.

Geometry as extended XYZ:
```
5
Lattice="-1.6655 3.8155 1.8292 0.4076 -1.8316 4.1917 4.2539 1.6992 0.3288" Properties=species:S:1:pos:R:3 pbc="T T T"
Ca 0.0000 0.0000 0.0000
Ti -0.8327 1.9078 0.9146
Tc 2.1270 0.8496 0.1644
Sb 1.4980 1.8416 3.1748
Tc 0.2038 -0.9158 2.0958
```

## Properties
Total magnetic moment = 1.4 μB per formula unit
Formation energy (no corrections) = 2.01 eV/atom
VASP energy = -24.61 eV per atom



Below is CaSbTe2 at its PBEsol-relaxed geometry, with properties calculated at the meta-GGA SCAN level.

Geometry as extended XYZ:
```
4
Lattice="-0.3996 -4.4403 -1.0796 -0.0188 -3.1731 3.3125 -7.3582 -2.0028 1.2159" Properties=species:S:1:pos:R:3 pbc="T T T"
Te -5.6983 -7.2221 2.5778
Te -0.6619 -7.5954 2.2488
Sb -1.6778 -2.4238 0.8448
Ca -4.0453 -4.7965 1.7347
```

## Properties
Total magnetic moment = 0.0 μB per formula unit
Formation energy (no corrections) = -0.47 eV/atom
VASP energy = -30.83 eV per atom



Below is CaSbTe at its PBEsol-relaxed geometry, with properties calculated at the meta-GGA SCAN level.

Geometry as extended XYZ:
```
3
Lattice="-1.5722 -2.9869 1.7547 3.9824 -2.9226 -1.4068 0.1328 2.5486 4.4572" Properties=species:S:1:pos:R:3 pbc="T T T"
Ca -0.0556 -0.1056 0.0620
Te 2.2182 -2.0126 1.0847
Sb 0.3803 -1.2427 3.6585
```

## Properties
Total magnetic moment = 0.0 μB per formula unit
Formation energy (no corrections) = -0.40 eV/atom
VASP energy = -28.46 eV per atom



Below is CaSb2Te at its PBEsol-relaxed geometry, with properties calculated at the meta-GGA SCAN level.

Geometry as extended XYZ:
```
4
Lattice="4.4061 0.0000 0.0000 0.0000 4.4061 0.0000 -2.2030 -2.2030 5.6433" Properties=species:S:1:pos:R:3 pbc="T T T"
Sb 2.2030 0.0000 2.8217
Ca 0.0000 0.0000 0.0000
Sb 0.0000 2.2030 2.8217
Te 2.2030 2.2030 0.0000
```

## Properties
Total magnetic moment = 0.0 μB per formula unit
Formation energy (no corrections) = -0.53 eV/atom
VASP energy = -30.89 eV per atom



Below is CaSbTe2 at its PBEsol-relaxed geometry, with properties calculated at the meta-GGA SCAN level.

Geometry as extended XYZ:
```
4
Lattice="-3.7488 -0.1348 1.6518 -1.4615 -1.8792 -3.4702 4.0750 -5.3394 3.7270" Properties=species:S:1:pos:R:3 pbc="T T T"
Te -1.2460 -2.7807 2.0306
Ca -2.4874 -1.5155 -0.6834
Te -1.2379 -6.9105 1.7119
Sb 0.0955 -4.5072 -0.1511
```

## Properties
Total magnetic moment = 0.0 μB per formula unit
Formation energy (no corrections) = -0.68 eV/atom
VASP energy = -31.04 eV per atom



Below is CaSb2Te at its PBEsol-relaxed geometry, with properties calculated at the meta-GGA SCAN level.

Geometry as extended XYZ:
```
4
Lattice="4.5330 0.0000 0.0000 0.0000 4.5330 0.0000 -2.2665 -2.2665 5.2857" Properties=species:S:1:pos:R:3 pbc="T T T"
Ca 0.0000 2.2665 2.6429
Sb 2.2665 0.0000 2.6429
Te 2.2665 2.2665 0.0000
Sb 0.0000 0.0000 0.0000
```

## Properties
Total magnetic moment = 0.0 μB per formula unit
Formation energy (no corrections) = -0.37 eV/atom
VASP energy = -30.73 eV per atom



Below is CaSbTe2 at its PBEsol-relaxed geometry, with properties calculated at the meta-GGA SCAN level.

Geometry as extended XYZ:
```
4
Lattice="4.4445 0.0000 0.0000 0.0000 4.4445 0.0000 0.0000 0.0000 6.2823" Properties=species:S:1:pos:R:3 pbc="T T T"
Sb 2.2223 2.2223 3.1411
Te 2.2223 2.2223 0.0000
Ca 0.0000 0.0000 0.0000
Te 0.0000 0.0000 3.1411
```

## Properties
Total magnetic moment = 0.0 μB per formula unit
Formation energy (no corrections) = -0.89 eV/atom
VASP energy = -31.25 eV per atom



Below is CaTiSb2Te at its PBEsol-relaxed geometry, with properties calculated at the meta-GGA SCAN level.

Geometry as extended XYZ:
```
5
Lattice="5.1906 0.0000 0.0000 0.0000 5.1906 0.0000 0.0000 0.0000 5.4458" Properties=species:S:1:pos:R:3 pbc="T T T"
Sb 2.5953 0.0000 0.0000
Ti 0.0000 0.0000 0.0000
Te 0.0000 0.0000 2.7229
Sb 0.0000 2.5953 0.0000
Ca 2.5953 2.5953 2.7229
```

## Properties
Total magnetic moment = 0.0 μB per formula unit
Formation energy (no corrections) = -0.38 eV/atom
VASP energy = -27.88 eV per atom
Energy above the lowest structure with this stoichiometry = 0 meV per atom



Below is CaZr2SbTe at its PBEsol-relaxed geometry, with properties calculated at the meta-GGA SCAN level.

Geometry as extended XYZ:
```
5
Lattice="-4.0729 -2.6263 -2.1536 3.3734 -3.5186 -2.0890 -0.4425 -3.3376 4.9071" Properties=species:S:1:pos:R:3 pbc="T T T"
Zr -2.0364 -1.3132 -1.0768
Te -0.2213 -1.6688 2.4536
Zr 1.6867 -1.7593 -1.0445
Sb 0.0000 0.0000 0.0000
Ca -0.5710 -4.7412 0.3323
```

## Properties
Total magnetic moment = 1.6 μB per formula unit
Formation energy (no corrections) = 0.44 eV/atom
VASP energy = -28.68 eV per atom



Below is CaTiSb2 at its PBEsol-relaxed geometry, with properties calculated at the meta-GGA SCAN level.

Geometry as extended XYZ:
```
8
Lattice="-0.2200 -6.2630 1.6444 1.3696 1.3684 -6.1830 4.8102 2.5789 3.4913" Properties=species:S:1:pos:R:3 pbc="T T T"
Sb 5.7832 1.5424 -1.4621
Ca 2.5825 -3.0657 1.4332
Sb 0.4639 -5.0817 -0.7199
Ti 0.0000 0.0000 0.0000
Ca 0.5748 -2.4473 -2.2693
Sb 2.3564 0.5548 1.2621
Sb 3.3160 -1.6468 -1.1748
Ti 3.3773 0.7500 -2.4805
```

## Properties
Total magnetic moment = 1.0 μB per formula unit
Formation energy (no corrections) = -0.43 eV/atom
VASP energy = -25.48 eV per atom



Below is CaTlSb2 at its PBEsol-relaxed geometry, with properties calculated at the meta-GGA SCAN level.

Geometry as extended XYZ:
```
4
Lattice="4.7720 0.0000 0.0000 0.0000 4.7503 0.0000 0.0000 0.0000 4.7503" Properties=species:S:1:pos:R:3 pbc="T T T"
Ca 2.3860 0.0000 0.0000
Sb 0.0000 2.3752 0.0000
Tl 2.3860 2.3752 2.3752
Sb 0.0000 0.0000 2.3752
```

## Properties
Total magnetic moment = 0.0 μB per formula unit
Formation energy (no corrections) = -0.46 eV/atom
VASP energy = -39.59 eV per atom
Energy above the lowest structure with this stoichiometry = 0 meV per atom



Below is CaTl2Sb at its PBEsol-relaxed geometry, with properties calculated at the meta-GGA SCAN level.

Geometry as extended XYZ:
```
4
Lattice="-2.2146 -4.1598 2.6907 2.9152 -2.7019 3.6945 -1.1734 0.4970 5.2749" Properties=species:S:1:pos:R:3 pbc="T T T"
Ca -0.2364 -3.1823 5.8300
Sb -0.1182 -1.5912 2.9150
Tl -0.3546 -4.7735 8.7450
Tl 0.0000 0.0000 0.0000
```

## Properties
Total magnetic moment = 0.0 μB per formula unit
Formation energy (no corrections) = -0.30 eV/atom
VASP energy = -48.21 eV per atom
Energy above the lowest structure with this stoichiometry = 153 meV per atom